Entry 1:
# GGA-PBE CdRh2Cl, optimized geometry
# Offset from the most stable computed form: 184 meV/atom
# Energy: -4.17 eV per atom
# Uncorrected formation energy: 19.3 kJ/mol of atoms
data_CdRh2Cl
_chemical_formula_sum 'Cd3 Rh6 Cl3'
_cell_length_a 2.9934
_cell_length_b 2.9934
_cell_length_c 25.0646
_cell_angle_alpha 90.00
_cell_angle_beta 90.00
_cell_angle_gamma 120.00
_symmetry_space_group_name_H-M 'R -3 m'
_symmetry_Int_Tables_number 166
_symmetry_space_group_name_Hall '-R 3 2"'
loop_
_atom_site_label
_atom_site_fract_x
_atom_site_fract_y
_atom_site_fract_z
Cd1 0.0000 0.0000 0.0000
Rh1 0.0000 0.0000 0.2436
Cl1 0.0000 0.0000 0.5000



Entry 2:
# GGA-PBE SrAg4Bi4, optimized geometry
# Energy: -3.24 eV per atom
data_SrAg4Bi4
_chemical_formula_sum 'Sr2 Ag8 Bi8'
_cell_length_a 9.401
_cell_length_b 9.401
_cell_length_c 6.081
_cell_angle_alpha 90.00
_cell_angle_beta 90.00
_cell_angle_gamma 90.00
_symmetry_space_group_name_H-M 'P 42/n'
_symmetry_Int_Tables_number 86
loop_
_symmetry_equiv_pos_as_xyz
'x,y,z'
'-x,-y,-z'
'-y,x+1/2,z+1/2'
'y,-x+1/2,-z+1/2'
'-x+1/2,-y+1/2,z'
'x+1/2,y+1/2,-z'
'y+1/2,-x,z+1/2'
'-y+1/2,x,-z+1/2'
loop_
_atom_site_label
_atom_site_fract_x
_atom_site_fract_y
_atom_site_fract_z
Sr1 0.250 0.250 0.250
Ag1 0.040 0.883 0.131
Bi1 0.090 0.877 0.627



Entry 3:
# GGA-PBE Dy3Tm2Bi2, optimized geometry
# Energy: -4.79 eV per atom
data_Dy3Tm2Bi2
_chemical_formula_sum 'Dy6 Tm4 Bi4'
_cell_length_a 12.109
_cell_length_b 4.303
_cell_length_c 8.501
_cell_angle_alpha 90.00
_cell_angle_beta 107.27
_cell_angle_gamma 90.00
_symmetry_space_group_name_H-M 'C 1 2/m 1'
_symmetry_Int_Tables_number 12
loop_
_symmetry_equiv_pos_as_xyz
'x,y,z'
'-x,-y,-z'
'-x,y,-z'
'x,-y,z'
'x+1/2,y+1/2,z'
'-x+1/2,-y+1/2,-z'
'-x+1/2,y+1/2,-z'
'x+1/2,-y+1/2,z'
loop_
_atom_site_label
_atom_site_fract_x
_atom_site_fract_y
_atom_site_fract_z
Dy1 0.000 0.000 0.000
Dy2 0.126 0.000 0.444
Tm1 0.119 0.500 0.762
Bi1 0.179 0.500 0.184



Entry 4:
# GGA-PBE Dy4Ho5Ag, optimized geometry
# Energy: -4.46 eV per atom
data_Dy4Ho5Ag
_chemical_formula_sum 'Dy4 Ho5 Ag1'
_cell_length_a 3.531
_cell_length_b 3.531
_cell_length_c 23.903
_cell_angle_alpha 90.00
_cell_angle_beta 90.00
_cell_angle_gamma 90.00
_symmetry_space_group_name_H-M 'P 4/m m m'
_symmetry_Int_Tables_number 123
_symmetry_space_group_name_Hall '-P 4 2'
loop_
_atom_site_label
_atom_site_fract_x
_atom_site_fract_y
_atom_site_fract_z
Dy1 0.000 0.000 0.105
Dy2 0.000 0.000 0.314
Ho1 0.500 0.500 0.000
Ho2 0.500 0.500 0.210
Ho3 0.500 0.500 0.420
Ag1 0.000 0.000 0.500



Entry 5:
# GGA-PBE La3BiIr, optimized geometry
# Offset from the most stable computed form: 310 meV/atom
# Energy: -6.02 eV per atom
data_La3BiIr
_chemical_formula_sum 'La24 Bi8 Ir8'
_cell_length_a 15.164
_cell_length_b 12.359
_cell_length_c 7.145
_cell_angle_alpha 90.00
_cell_angle_beta 90.43
_cell_angle_gamma 90.00
_symmetry_space_group_name_H-M 'C 1 2/c 1'
_symmetry_Int_Tables_number 15
loop_
_symmetry_equiv_pos_as_xyz
'x,y,z'
'-x,-y,-z'
'-x,y,-z+1/2'
'x,-y,z+1/2'
'x+1/2,y+1/2,z'
'-x+1/2,-y+1/2,-z'
'-x+1/2,y+1/2,-z+1/2'
'x+1/2,-y+1/2,z+1/2'
loop_
_atom_site_label
_atom_site_fract_x
_atom_site_fract_y
_atom_site_fract_z
La1 0.008 0.184 0.477
La2 0.106 0.448 0.926
La3 0.195 0.118 0.754
Bi1 0.202 0.145 0.257
Ir1 0.000 0.035 0.750
Ir2 0.000 0.397 0.250



Entry 6:
# GGA-PBE RbNb2P2, optimized geometry
# Energy: -6.90 eV per atom
data_RbNb2P2
_chemical_formula_sum 'Rb2 Nb4 P4'
_cell_length_a 4.155
_cell_length_b 4.155
_cell_length_c 14.470
_cell_angle_alpha 90.00
_cell_angle_beta 90.00
_cell_angle_gamma 90.00
_symmetry_space_group_name_H-M 'I 4/m m m'
_symmetry_Int_Tables_number 139
_symmetry_space_group_name_Hall '-I 4 2'
loop_
_atom_site_label
_atom_site_fract_x
_atom_site_fract_y
_atom_site_fract_z
Rb1 0.000 0.000 0.000
Nb1 0.000 0.500 0.250
P1 0.000 0.000 0.350



Entry 7:
# GGA-PBE Nd2HgC, optimized geometry
# Energy: -5.01 eV per atom
data_Nd2HgC
_chemical_formula_sum 'Nd6 Hg3 C3'
_cell_length_a 3.7124
_cell_length_b 3.7124
_cell_length_c 24.7427
_cell_angle_alpha 90.00
_cell_angle_beta 90.00
_cell_angle_gamma 120.00
_symmetry_space_group_name_H-M 'R 3 m'
_symmetry_Int_Tables_number 160
_symmetry_space_group_name_Hall 'R 3 -2"'
loop_
_atom_site_label
_atom_site_fract_x
_atom_site_fract_y
_atom_site_fract_z
Nd1 0.0000 0.0000 0.0000
Nd2 0.0000 0.0000 0.2174
Hg1 0.0000 0.0000 0.7749
C1 0.0000 0.0000 0.6092



Entry 8:
# GGA-PBE MnTl3Cd, optimized geometry
# Offset from the most stable computed form: 0 meV/atom
# Energy: -3.07 eV per atom
data_MnTl3Cd
_chemical_formula_sum 'Mn1 Tl3 Cd1'
_cell_length_a 5.280
_cell_length_b 5.280
_cell_length_c 5.280
_cell_angle_alpha 90.00
_cell_angle_beta 90.00
_cell_angle_gamma 90.00
_symmetry_space_group_name_H-M 'P m -3 m'
_symmetry_Int_Tables_number 221
_symmetry_space_group_name_Hall '-P 4 2 3'
loop_
_atom_site_label
_atom_site_fract_x
_atom_site_fract_y
_atom_site_fract_z
Mn1 0.000 0.000 0.000
Tl1 0.000 0.000 0.500
Cd1 0.500 0.500 0.500



Entry 9:
# GGA-PBE CsAlTlCd2, optimized geometry
# Energy: -1.64 eV per atom
data_CsAlTlCd2
_chemical_formula_sum 'Cs1 Al1 Tl1 Cd2'
_cell_length_a 5.515
_cell_length_b 5.515
_cell_length_c 5.796
_cell_angle_alpha 90.00
_cell_angle_beta 90.00
_cell_angle_gamma 90.00
_symmetry_space_group_name_H-M 'P 4/m m m'
_symmetry_Int_Tables_number 123
_symmetry_space_group_name_Hall '-P 4 2'
loop_
_atom_site_label
_atom_site_fract_x
_atom_site_fract_y
_atom_site_fract_z
Cs1 0.000 0.000 0.000
Al1 0.500 0.500 0.500
Tl1 0.500 0.500 0.000
Cd1 0.000 0.500 0.500



Question: The highest energy belongs to which entry?
Answer: CsAlTlCd2